1.
Density functional theory data (GGA-PBE) for an optimized crystal structure of In2Ni3.

Geometry as extended XYZ:
```
5
Lattice="1.9290 0.7652 4.9023 -2.3162 1.0314 4.6808 -0.4101 -2.7743 4.5247" Properties=species:S:1:pos:R:3 pbc="T T T"
Ni 0.0000 0.0000 0.0000
Ni -0.1501 -0.1841 2.6559
Ni -0.6473 -0.7937 11.4518
In -0.4789 -0.5872 8.4728
In -0.3185 -0.3905 5.6350
```

Summary:
formation energy from the elements = 0.0 eV/f.u.
space group = R-3m, No. 166

***

2.
Density functional theory data (GGA-PBE) for an optimized crystal structure of TaTc4Au.

Geometry as extended XYZ:
```
6
Lattice="1.1453 -2.8378 4.1434 -3.5828 -3.0409 2.1094 0.3980 -5.1189 -0.4141" Properties=species:S:1:pos:R:3 pbc="T T T"
Tc -0.1998 -5.5426 4.2488
Tc -2.5419 -5.6432 3.2412
Tc -0.7672 -4.1369 2.1963
Tc -0.5700 -6.6725 1.9912
Ta 0.0000 0.0000 0.0000
Au -1.5296 -8.2482 4.3791
```

Summary:
formation energy from the elements = 0.8 eV/f.u.
space group = F-43m, No. 216

***

3.
Density functional theory data (GGA-PBE) for an optimized crystal structure of AlGa5Ag8.

Geometry as extended XYZ:
```
14
Lattice="6.9922 0.3023 -0.5196 -2.0814 6.6821 0.5196 -2.8293 -3.2292 5.5515" Properties=species:S:1:pos:R:3 pbc="T T T"
Ga 6.1650 1.8497 -0.2834
Ga 2.0814 -1.4635 2.5159
Ga 1.8058 2.9831 3.9823
Ga 1.7360 0.3313 0.1047
Ga 4.2776 5.8776 1.2283
Ag -3.5552 0.9857 5.8162
Ag 0.7363 -0.5771 4.9308
Ag -1.9325 3.0942 2.6122
Ag 3.3707 1.1131 2.1618
Ag 1.9884 3.8799 1.3983
Ag -0.6988 3.3155 5.2943
Ag 0.5271 1.1434 2.5306
Ag -1.9318 -1.4659 3.5330
Al -1.4147 0.9947 4.2935
```

Summary:
formation energy from the elements = 0.7 eV/f.u.
space group = I-4, No. 82

***

4.
Density functional theory data (GGA-PBE) for an optimized crystal structure of SiMo2.

Geometry as extended XYZ:
```
6
Lattice="2.2338 -3.8691 0.0000 2.2338 3.8691 0.0000 0.0000 0.0000 5.1169" Properties=species:S:1:pos:R:3 pbc="T T T"
Mo 2.2338 -1.2897 3.8377
Mo 0.0000 0.0000 2.5585
Mo 0.0000 0.0000 0.0000
Mo 2.2338 1.2897 1.2792
Si 2.2338 1.2897 3.8377
Si 2.2338 -1.2897 1.2792
```

Summary:
E above lowest polymorph = 250 meV/atom
raw formation energy = -0.0764 eV per atom
space group = P6_3/mmc, No. 194

***

5.
Density functional theory data (GGA-PBE) for an optimized crystal structure of KNaIn2.

Geometry as extended XYZ:
```
4
Lattice="-2.4714 -2.8157 -0.3547 4.2497 -3.4563 -2.1733 1.3003 -1.8278 5.4496" Properties=species:S:1:pos:R:3 pbc="T T T"
K 1.5394 -4.0499 1.4608
In 2.1249 -1.7281 -1.0867
In 0.6502 -0.9139 2.7248
Na -1.2357 -1.4078 -0.1774
```

Summary:
formation energy from the elements = 0.2 eV/f.u.
E above lowest polymorph = 157 meV/atom
space group = P4/mmm, No. 123

***

6.
Density functional theory data (GGA-PBE) for an optimized crystal structure of SrCo6.

Geometry as extended XYZ:
```
7
Lattice="5.4571 0.0000 0.0000 -1.8190 5.1450 0.0000 -1.8190 -2.5725 4.4557" Properties=species:S:1:pos:R:3 pbc="T T T"
Co 0.9095 -0.6431 3.3418
Co 0.9095 3.2156 1.1139
Co -0.9095 0.6431 3.3418
Co -0.9095 2.5725 2.2278
Co 2.7285 0.0000 2.2278
Co 2.7285 1.9294 1.1139
Sr 0.0000 0.0000 0.0000
```

Summary:
formation energy from the elements = 4.0 eV/f.u.
space group = Im-3m, No. 229

***

Summary of E in eV per atom
-4.56 -9.30 -2.93 -9.10 -1.92 -5.75
(order as listed above)